DFT (PBE) results for Sc2BeInSn after structural relaxation.

Structure (POSCAR):
```
Sc2BeInSn
1.0
5.386 0.000 0.000
0.000 5.386 0.000
0.000 0.000 4.403
Sc Be In Sn
2 1 1 1
direct
0.000 0.500 0.000
0.500 0.000 0.000
0.000 0.000 0.500
0.000 0.000 0.000
0.500 0.500 0.500
```

## Properties
As for the total energy: -4.2381 eV/atom. The energy relative to the elements comes out at 388 meV per atom. The magnetization is 0.000 μB per atom.